The following is a DFT calculation (PBE) of a relaxed B5C3 crystal. Values from VASP.

Geometry as Quantum ESPRESSO input:
```
&SYSTEM
  ibrav = 0, nat = 8, ntyp = 2
/
ATOMIC_SPECIES
B 10.81 B.upf
C 12.01 C.upf
CELL_PARAMETERS angstrom
2.423 0.000 0.000
0.000 2.423 0.000
0.000 0.000 9.233
ATOMIC_POSITIONS crystal
B 0.000 0.000 0.483
B 0.500 0.000 0.911
B 0.500 0.500 0.767
B 0.500 0.000 0.339
B 0.000 0.500 0.625
C 0.500 0.500 0.223
C 0.000 0.500 0.125
C 0.000 0.000 0.027
```

The total magnetization comes out at 0.00 μB/atom. As for the space group: P-4m2, No. 115. The calculated total energy is -57.87 eV per cell. The excess energy over the best structure of this formula in the dataset is 1.03 eV per formula unit. For the calculated formation energy, the calculation gives 398 meV/atom.